No. 1
RbNa2MgSi: relaxed, PBE.

abc: 5.8795 5.8795 5.2360
angles: 90.00 90.00 90.00
Atoms (fractional coordinates):
Rb  0.0000  0.0000  0.0000
Na  0.0000  0.5000  0.5000
Na  0.5000  0.0000  0.5000
Mg  0.5000  0.5000  0.0000
Si  0.5000  0.5000  0.5000

Results
symmetry: P4/mmm (123)
calculated volume: 36.2 Å³ per atom
M_tot: 0.0 μB/f.u.
VASP energy: -2.008 eV per atom
raw formation energy: 0.117 eV per atom

***

No. 2
Al2AsSe6: relaxed, PBE.

abc: 8.4053 8.4053 6.6576
angles: 110.07 110.07 81.94
Atoms (fractional coordinates):
Al  0.1298  0.2979  0.4617
Al  0.2979  0.1298  0.9617
Al  0.7021  0.8702  0.0383
Al  0.8702  0.7021  0.5383
As  0.4100  0.5900  0.7500
As  0.5900  0.4100  0.2500
Se  0.0076  0.1485  0.0273
Se  0.1425  0.5904  0.4326
Se  0.1485  0.0076  0.5273
Se  0.2388  0.4299  0.8985
Se  0.4096  0.8575  0.0674
Se  0.4299  0.2388  0.3985
Se  0.5701  0.7612  0.6015
Se  0.5904  0.1425  0.9326
Se  0.7612  0.5701  0.1015
Se  0.8515  0.9924  0.4727
Se  0.8575  0.4096  0.5674
Se  0.9924  0.8515  0.9727

Results
symmetry: C2/c (15)
calculated volume: 23.0 Å³ per atom
M_tot: 0.0 μB/f.u.
VASP energy: -4.038 eV per atom
raw formation energy: -0.366 eV per atom

***

What is the VASP energy in the first record? -2.008 eV per atom